Record 1
Below is an optimized crystal structure of CoSi2Au, with properties calculated at the GGA-PBE level.

Properties
E_form (uncorrected) = 0.19 eV per atom
total magnetic moment = 0.68 μB per formula unit
VASP energy = -5.118 eV per atom

Lattice parameters (Å, degrees): 4.7578 4.7578 4.7578 133.73 133.73 67.51
Last column: nearest neighbours and their distance in Å.
Atoms (fractional coordinates):
Au 0.5000 0.5000 0.0000  8 Si 2.64-2.72, 4 Co 2.72
Co 0.7500 0.2500 0.5000  8 Si 2.64-2.72, 4 Au 2.72
Si 0.0000 0.0000 0.0000  4 Au 2.64, 4 Si 2.72, 4 Co 2.72
Si 0.2500 0.7500 0.5000  4 Co 2.64, 4 Au 2.72, 4 Si 2.72



Record 2
Below is an optimized crystal structure of NdPuHfO6, with properties calculated at the GGA-PBE level.

Properties
E_form (uncorrected) = -3.17 eV per atom
total magnetic moment = 3.00 μB per formula unit
VASP energy = -9.699 eV per atom

Lattice parameters (Å, degrees): 5.6231 5.6231 9.9316 90.00 90.00 120.00
Last column: nearest neighbours and their distance in Å.
Atoms (fractional coordinates):
Nd 0.0000 0.0000 0.0000  6 O 2.44
Nd 0.0000 0.0000 0.5000  6 O 2.44
Pu 0.6667 0.3333 0.2500  6 O 2.14
Pu 0.3333 0.6667 0.7500  6 O 2.14
Hf 0.3333 0.6667 0.2500  6 O 2.10
Hf 0.6667 0.3333 0.7500  6 O 2.10
O 0.6402 0.6465 0.1390  1 Hf 2.10, 1 Pu 2.14
O 0.0063 0.3598 0.1390  1 Hf 2.10, 1 Pu 2.14
O 0.3598 0.0063 0.6390  1 Hf 2.10, 1 Pu 2.14
O 0.9937 0.6402 0.8610  1 Hf 2.10, 1 Pu 2.14
O 0.3535 0.3598 0.3610  1 Hf 2.10, 1 Pu 2.14
O 0.0063 0.6465 0.3610  1 Hf 2.10, 1 Pu 2.14
O 0.6465 0.0063 0.8610  1 Hf 2.10, 1 Pu 2.14
O 0.6402 0.9937 0.3610  1 Hf 2.10, 1 Pu 2.14
O 0.9937 0.3535 0.6390  1 Hf 2.10, 1 Pu 2.14
O 0.3535 0.9937 0.1390  1 Hf 2.10, 1 Pu 2.14
O 0.6465 0.6402 0.6390  1 Hf 2.10, 1 Pu 2.14
O 0.3598 0.3535 0.8610  1 Hf 2.10, 1 Pu 2.14



Record 3
Below is an optimized crystal structure of MgZr5Os4, with properties calculated at the GGA-PBE level.

Properties
calculated formation energy = -0.40 eV per atom
total magnetic moment = 0.00 μB per formula unit
VASP energy = -9.329 eV per atom

Lattice parameters (Å, degrees): 3.2941 3.2941 16.9958 90.00 90.00 90.00
Last column: nearest neighbours and their distance in Å.
Atoms (fractional coordinates):
Mg 0.0000 0.0000 0.0000  8 Zr 3.03, 4 Mg 3.29
Zr 0.5000 0.5000 0.1137  4 Os 2.83, 4 Mg 3.03
Zr 0.5000 0.5000 0.3063  8 Os 2.85-2.86
Zr 0.5000 0.5000 0.5000  8 Os 2.85
Zr 0.5000 0.5000 0.6937  8 Os 2.85-2.86
Zr 0.5000 0.5000 0.8863  4 Os 2.83, 4 Mg 3.03
Os 0.0000 0.0000 0.2083  8 Zr 2.83-2.86
Os 0.0000 0.0000 0.4031  8 Zr 2.85
Os 0.0000 0.0000 0.5969  8 Zr 2.85
Os 0.0000 0.0000 0.7917  8 Zr 2.83-2.86



Record 4
Below is an optimized crystal structure of Li2Os, with properties calculated at the GGA-PBE level.

Properties
calculated formation energy = 0.12 eV per atom
total magnetic moment = 0.00 μB per formula unit
VASP energy = -4.902 eV per atom

Lattice parameters (Å, degrees): 8.4015 8.4015 8.4015 149.01 149.01 44.39
Last column: nearest neighbours and their distance in Å.
Atoms (fractional coordinates):
Os 0.9175 0.9175 0.0000  7 Li 2.56-2.65, 3 Os 2.57-2.61
Os 0.0825 0.0825 0.0000  7 Li 2.56-2.65, 3 Os 2.57-2.61
Os 0.1675 0.6675 0.5000  7 Li 2.56-2.65, 3 Os 2.57-2.61
Os 0.3325 0.8325 0.5000  7 Li 2.56-2.65, 3 Os 2.57-2.61
Li 0.7470 0.7470 0.0000  5 Li 2.50-2.64, 5 Os 2.56-2.65
Li 0.2530 0.2530 0.0000  5 Li 2.50-2.64, 5 Os 2.56-2.65
Li 0.9970 0.4970 0.5000  5 Li 2.50-2.64, 5 Os 2.56-2.65
Li 0.5030 0.0030 0.5000  5 Li 2.50-2.64, 5 Os 2.56-2.65
Li 0.5861 0.5861 0.0000  8 Li 2.50-2.68, 2 Os 2.58
Li 0.4139 0.4139 0.0000  8 Li 2.50-2.68, 2 Os 2.58
Li 0.8361 0.3361 0.5000  8 Li 2.50-2.68, 2 Os 2.58
Li 0.6639 0.1639 0.5000  8 Li 2.50-2.68, 2 Os 2.58



Record 5
Below is an optimized crystal structure of SrInF3, with properties calculated at the GGA-PBE level.

Properties
E_form (uncorrected) = -2.32 eV per atom
total magnetic moment = 0.00 μB per formula unit
VASP energy = -4.328 eV per atom

Lattice parameters (Å, degrees): 4.7095 4.7095 4.7095 90.00 90.00 90.00
Last column: nearest neighbours and their distance in Å.
Atoms (fractional coordinates):
Sr 0.5000 0.5000 0.5000  12 F 3.33
F 0.0000 0.5000 0.0000  2 In 2.35
F 0.0000 0.0000 0.5000  2 In 2.35
F 0.5000 0.0000 0.0000  2 In 2.35
In 0.0000 0.0000 0.0000  6 F 2.35



Record 6
Below is an optimized crystal structure of LiTcRu2, with properties calculated at the GGA-PBE level.

Properties
calculated formation energy = 0.63 eV per atom
total magnetic moment = 0.00 μB per formula unit
VASP energy = -7.080 eV per atom

Lattice parameters (Å, degrees): 6.9917 6.9917 5.5949 51.33 51.33 90.00
Last column: nearest neighbours and their distance in Å.
Atoms (fractional coordinates):
Ru 0.6666 0.1250 0.2500  2 Tc 2.37
Ru 0.0834 0.6250 0.2500  2 Tc 2.37
Ru 0.3750 0.3334 0.7500  2 Tc 2.37
Ru 0.8750 0.9166 0.7500  2 Tc 2.37
Tc 0.0000 0.0000 0.0000  4 Ru 2.37, 2 Li 2.62
Tc 0.7500 0.2500 0.5000  4 Ru 2.37, 2 Li 2.62
Li 0.5000 0.5000 0.0000  2 Tc 2.62, 4 Ru 2.76
Li 0.2500 0.7500 0.5000  2 Tc 2.62, 4 Ru 2.76



Record 7
Below is an optimized crystal structure of HfZr3Al, with properties calculated at the GGA-PBE level.

Properties
calculated formation energy = 0.81 eV per atom
total magnetic moment = 0.00 μB per formula unit
VASP energy = -7.058 eV per atom

Lattice parameters (Å, degrees): 5.3222 5.8671 5.8669 118.28 105.17 105.32
Last column: nearest neighbours and their distance in Å.
Atoms (fractional coordinates):
Hf 0.5000 0.0000 0.0000  2 Al 2.66, 2 Zr 2.82
Zr 0.0000 0.5000 0.0000  4 Zr 2.93-3.01, 2 Al 2.93
Zr 0.0000 0.5000 0.5000  2 Hf 2.82, 4 Zr 2.93, 2 Al 3.01
Zr 0.0000 0.0000 0.5000  2 Al 2.93, 4 Zr 2.93-3.01
Al 0.0000 0.0000 0.0000  2 Hf 2.66, 4 Zr 2.93



Record 8
Below is an optimized crystal structure of Sr2Te2F, with properties calculated at the GGA-PBE level.

Properties
E_form (uncorrected) = -1.80 eV per atom
total magnetic moment = 0.88 μB per formula unit
VASP energy = -4.106 eV per atom

Lattice parameters (Å, degrees): 7.9800 7.9800 4.8240 90.00 90.00 90.00
Last column: nearest neighbours and their distance in Å.
Atoms (fractional coordinates):
Sr 0.3209 0.8209 0.0000  2 F 2.93, 2 Te 3.18
Sr 0.8209 0.6791 0.0000  2 F 2.93, 2 Te 3.18
Sr 0.6791 0.1791 0.0000  2 F 2.93, 2 Te 3.18
Sr 0.1791 0.3209 0.0000  2 F 2.93, 2 Te 3.18
Te 0.1375 0.6375 0.5000  1 Te 3.10, 2 Sr 3.18
Te 0.6375 0.8625 0.5000  1 Te 3.10, 2 Sr 3.18
Te 0.8625 0.3625 0.5000  1 Te 3.10, 2 Sr 3.18
Te 0.3625 0.1375 0.5000  1 Te 3.10, 2 Sr 3.18
F 0.0000 0.0000 0.0000  4 Sr 2.93
F 0.5000 0.5000 0.0000  4 Sr 2.93